Record 1
DFT (PBE) results for a relaxed structure of CaDyY2S4.

Cell lengths 3.9199, 6.8200, 6.8222 Å; angles 109.17, 90.00, 90.00 degrees
Closest atoms and distances in Å follow each position.
Positions (direct):
Ca: 0.0000 0.0000 0.0000  6 S 2.78-2.79
Dy: 0.5000 0.5000 0.0000  6 S 2.77-2.78
Y: 0.5000 0.0000 0.5000  6 S 2.78-2.79
Y: 0.0000 0.5000 0.5000  6 S 2.77-2.78
S: 0.5000 0.2522 0.2513  3 Y 2.77-2.78, 1 Dy 2.77, 2 Ca 2.79
S: 0.5000 0.7478 0.7487  3 Y 2.77-2.78, 1 Dy 2.77, 2 Ca 2.79
S: 0.0000 0.2509 0.7507  3 Y 2.78-2.79, 2 Dy 2.78, 1 Ca 2.78
S: 0.0000 0.7491 0.2493  3 Y 2.78-2.79, 2 Dy 2.78, 1 Ca 2.78

Total moment = 0.00 μB/f.u.
DFT total energy = -6.53 eV per atom
Formation energy without anion corrections = -2.02 eV/atom
Crystal system = monoclinic
SG = No. 10


Record 2
DFT (PBE) results for a relaxed structure of Ca3DyY3S8.

Cell lengths 7.8875, 7.8873, 7.9816 Å; angles 119.61, 90.00, 120.00 degrees
Closest atoms and distances in Å follow each position.
Positions (direct):
Ca: 0.0000 0.0000 0.0000  6 S 2.82-2.84
Ca: 0.0000 0.5000 0.0000  6 S 2.83-2.84
Ca: 0.5000 0.5000 0.0000  6 S 2.83-2.84
Dy: 0.0000 0.0000 0.5000  6 S 2.75
Y: 0.5000 0.0000 0.5000  6 S 2.77-2.79
Y: 0.5000 0.5000 0.5000  6 S 2.77-2.79
Y: 0.0000 0.5000 0.5000  6 S 2.77-2.79
S: 0.2517 0.5034 0.2551  3 Y 2.79, 3 Ca 2.82-2.83
S: 0.7483 0.4966 0.7449  3 Y 2.79, 3 Ca 2.82-2.83
S: 0.7550 0.5100 0.2612  1 Dy 2.75, 2 Y 2.77, 2 Ca 2.84
S: 0.2450 0.4900 0.7388  1 Dy 2.75, 2 Y 2.77, 2 Ca 2.84
S: 0.7550 0.0062 0.2612  1 Dy 2.75, 2 Y 2.77, 2 Ca 2.84
S: 0.2450 0.9938 0.7388  1 Dy 2.75, 2 Y 2.77, 2 Ca 2.84
S: 0.2512 0.0062 0.2612  1 Dy 2.75, 2 Y 2.77, 2 Ca 2.84
S: 0.7488 0.9938 0.7388  1 Dy 2.75, 2 Y 2.77, 2 Ca 2.84

Total moment = 0.00 μB/f.u.
DFT total energy = -6.30 eV per atom
Formation energy without anion corrections = -2.09 eV/atom
Crystal system = trigonal
SG = No. 166


Record 3
DFT (PBE) results for a relaxed structure of Ca3Dy3ZnS8.

Cell lengths 7.8286, 7.8284, 7.9412 Å; angles 119.53, 90.00, 120.00 degrees
Closest atoms and distances in Å follow each position.
Positions (direct):
Ca: 0.0000 0.0000 0.0000  6 S 2.81-2.84
Ca: 0.0000 0.5000 0.0000  6 S 2.81-2.84
Ca: 0.5000 0.5000 0.0000  6 S 2.81-2.84
Dy: 0.5000 0.0000 0.5000  6 S 2.75-2.76
Dy: 0.5000 0.5000 0.5000  6 S 2.75-2.76
Dy: 0.0000 0.5000 0.5000  6 S 2.75-2.76
Zn: 0.0000 0.0000 0.5000  6 S 2.64
S: 0.2522 0.5044 0.2566  3 Dy 2.76, 3 Ca 2.81
S: 0.7478 0.4956 0.7434  3 Dy 2.76, 3 Ca 2.81
S: 0.7631 0.5262 0.2704  1 Zn 2.64, 2 Dy 2.75, 2 Ca 2.84
S: 0.2369 0.4738 0.7296  1 Zn 2.64, 2 Dy 2.75, 2 Ca 2.84
S: 0.7629 0.0073 0.2703  1 Zn 2.64, 2 Dy 2.75, 2 Ca 2.84
S: 0.2371 0.9927 0.7297  1 Zn 2.64, 2 Dy 2.75, 2 Ca 2.84
S: 0.2444 0.0073 0.2703  1 Zn 2.64, 2 Dy 2.75, 2 Ca 2.84
S: 0.7556 0.9927 0.7297  1 Zn 2.64, 2 Dy 2.75, 2 Ca 2.84

Total moment = 0.00 μB/f.u.
DFT total energy = -5.47 eV per atom
Formation energy without anion corrections = -1.86 eV/atom
Crystal system = trigonal
SG = No. 166